Record 1
# Rb2CaTeI6, optimized geometry, DFT PBE-GGA
# ΔE_f (raw), eV/atom: -0.9778
data_Rb2CaTeI6
_chemical_formula_sum 'Rb4 Ca2 Te2 I12'
_cell_length_a 8.598
_cell_length_b 8.598
_cell_length_c 14.170
_cell_angle_alpha 90.00
_cell_angle_beta 90.00
_cell_angle_gamma 90.00
_symmetry_space_group_name_H-M 'I 4/m m m'
_symmetry_Int_Tables_number 139
_symmetry_space_group_name_Hall '-I 4 2'
loop_
_atom_site_label
_atom_site_fract_x
_atom_site_fract_y
_atom_site_fract_z
Rb1 0.000 0.500 0.250
Ca1 0.000 0.000 0.000
Te1 0.000 0.000 0.500
I1 0.000 0.000 0.215
I2 0.242 0.242 0.500

=====

Record 2
# GdDyCd2, optimized geometry, DFT PBE-GGA
# ΔE to the lowest computed polymorph, eV per formula unit: 0.01
data_GdDyCd2
_chemical_formula_sum 'Gd1 Dy1 Cd2'
_cell_length_a 5.297
_cell_length_b 5.297
_cell_length_c 3.776
_cell_angle_alpha 90.00
_cell_angle_beta 90.00
_cell_angle_gamma 90.00
_symmetry_space_group_name_H-M 'P 4/m m m'
_symmetry_Int_Tables_number 123
_symmetry_space_group_name_Hall '-P 4 2'
loop_
_atom_site_label
_atom_site_fract_x
_atom_site_fract_y
_atom_site_fract_z
Gd1 0.000 0.000 0.000
Dy1 0.500 0.500 0.000
Cd1 0.000 0.500 0.500

=====

Record 3
# ErPaPSe, optimized geometry, DFT PBE-GGA
# ΔE_f (raw), eV/atom: -1.4209
data_ErPaPSe
_chemical_formula_sum 'Er3 Pa3 P3 Se3'
_cell_length_a 3.8840
_cell_length_b 3.8840
_cell_length_c 21.3214
_cell_angle_alpha 90.00
_cell_angle_beta 90.00
_cell_angle_gamma 120.00
_symmetry_space_group_name_H-M 'R 3 m'
_symmetry_Int_Tables_number 160
_symmetry_space_group_name_Hall 'R 3 -2"'
loop_
_atom_site_label
_atom_site_fract_x
_atom_site_fract_y
_atom_site_fract_z
Er1 0.0000 0.0000 0.0000
Pa1 0.0000 0.0000 0.8151
P1 0.0000 0.0000 0.4064
Se1 0.0000 0.0000 0.2412

=====

Record 4
# NaAc4Hg5, optimized geometry, DFT PBE-GGA
# VASP energy, eV/f.u.: -23.48
data_NaAc4Hg5
_chemical_formula_sum 'Na1 Ac4 Hg5'
_cell_length_a 4.014
_cell_length_b 4.014
_cell_length_c 19.773
_cell_angle_alpha 90.00
_cell_angle_beta 90.00
_cell_angle_gamma 90.00
_symmetry_space_group_name_H-M 'P 4/m m m'
_symmetry_Int_Tables_number 123
_symmetry_space_group_name_Hall '-P 4 2'
loop_
_atom_site_label
_atom_site_fract_x
_atom_site_fract_y
_atom_site_fract_z
Na1 0.000 0.000 0.000
Ac1 0.000 0.000 0.190
Ac2 0.000 0.000 0.396
Hg1 0.500 0.500 0.089
Hg2 0.500 0.500 0.294
Hg3 0.500 0.500 0.500

=====

Number 1: density of states at the Fermi level 0.0000 states/eV per atom. Number 2: density of states at the Fermi level 1.1669 states/eV per atom. Number 3: density of states at the Fermi level 1.0008 states/eV per atom. Number 4: density of states at the Fermi level 0.9261 states/eV per atom.